Entry 1:
# Sr2ZrW PBE-GGA optimized geometry
# - Polymorph energy (0 for the lowest one): 585.2 meV per atom
# - Energy of formation from the pure elements: 4.4 eV/f.u.
# - Crystal system: tetragonal
data_Sr2ZrW
_chemical_formula_sum 'Sr4 Zr2 W2'
_cell_length_a 4.376
_cell_length_b 4.376
_cell_length_c 11.083
_cell_angle_alpha 90.00
_cell_angle_beta 90.00
_cell_angle_gamma 90.00
_symmetry_space_group_name_H-M 'I 4/m m m'
_symmetry_Int_Tables_number 139
_symmetry_space_group_name_Hall '-I 4 2'
loop_
_atom_site_label
_atom_site_fract_x
_atom_site_fract_y
_atom_site_fract_z
Sr1 0.000 0.500 0.250
Zr1 0.000 0.000 0.000
W1 0.000 0.000 0.500

***

Entry 2:
# Sr2ZrW PBE-GGA optimized geometry
# - Polymorph energy (0 for the lowest one): 580.0 meV per atom
# - Energy of formation from the pure elements: 4.4 eV/f.u.
# - Crystal system: orthorhombic
data_Sr2ZrW
_chemical_formula_sum 'Sr2 Zr1 W1'
_cell_length_a 4.369
_cell_length_b 4.384
_cell_length_c 5.537
_cell_angle_alpha 90.00
_cell_angle_beta 90.00
_cell_angle_gamma 90.00
_symmetry_space_group_name_H-M 'P m m m'
_symmetry_Int_Tables_number 47
_symmetry_space_group_name_Hall '-P 2 2'
loop_
_atom_site_label
_atom_site_fract_x
_atom_site_fract_y
_atom_site_fract_z
Sr1 0.000 0.000 0.000
Sr2 0.500 0.500 0.000
Zr1 0.000 0.500 0.500
W1 0.500 0.000 0.500